No. 1
8
Lattice="2.913 0.000 0.000 0.000 5.642 0.000 0.000 0.000 10.874" Properties=species:S:1:pos:R:3 comment="BeTcCl2 PBE relaxed" magmom_total_mub_per_cell=5.45 raw_formation_energy_ev_per_atom=0.289 n_ef_per_ev_cell=4.445 pbc="T T T"
Be 0.000 0.000 0.000
Be 1.457 2.821 0.000
Tc 0.000 0.000 5.437
Tc 1.457 2.821 5.437
Cl 0.000 2.821 1.461
Cl 0.000 2.821 9.413
Cl 1.457 0.000 1.461
Cl 1.457 0.000 9.413

---

No. 2
16
Lattice="6.715 0.000 0.000 0.000 6.715 0.000 0.000 0.000 6.715" Properties=species:S:1:pos:R:3 comment="TcSb2Pd PBE relaxed" magmom_total_mub_per_cell=3.45 raw_formation_energy_ev_per_atom=0.140 n_ef_per_ev_cell=12.032 pbc="T T T"
Tc 0.000 0.000 0.000
Tc 0.000 3.357 3.357
Tc 3.357 0.000 3.357
Tc 3.357 3.357 0.000
Sb 1.679 1.679 1.679
Sb 1.679 1.679 5.036
Sb 1.679 5.036 1.679
Sb 1.679 5.036 5.036
Sb 5.036 1.679 1.679
Sb 5.036 1.679 5.036
Sb 5.036 5.036 1.679
Sb 5.036 5.036 5.036
Pd 0.000 0.000 3.357
Pd 0.000 3.357 0.000
Pd 3.357 0.000 0.000
Pd 3.357 3.357 3.357

---

| no. | calculated total energy (eV per atom) | ΔE to the lowest computed polymorph (eV/atom) |
| --- | --- | --- |
| 1 | -4.1572 | 0.543 |
| 2 | -5.8109 | 0.000 |